Record 1
Entry from the Alexandria database: K2SrTlIn after structural relaxation (PBE).

For the formation energy, the calculation gives -64 meV/atom. The calculation puts the energy relative to the lowest polymorph listed for this composition at 36.7 kJ/mol of formula units.

```
10
Lattice="4.263 0.000 0.000 0.000 4.263 0.000 0.000 0.000 23.014" Properties=species:S:1:pos:R:3 pbc="T T T"
K 0.000 0.000 11.864
K 2.132 2.132 0.357
K 0.000 0.000 16.098
K 2.132 2.132 4.592
Sr 0.000 0.000 20.016
Sr 2.132 2.132 8.509
Tl 0.000 0.000 2.584
Tl 2.132 2.132 14.091
In 0.000 0.000 6.782
In 2.132 2.132 18.289
```

Record 2
Entry from the Alexandria database: Dy5Te4Pd after structural relaxation (PBE).

The formation energy (no corrections) comes out at -113.6 kJ per mole of atoms.

```
10
Lattice="4.230 0.000 -0.596 -0.084 4.229 -0.596 0.073 0.075 15.827" Properties=species:S:1:pos:R:3 pbc="T T T"
Dy 0.374 0.381 2.651
Dy 2.073 2.115 -0.596
Dy 3.846 3.923 11.984
Dy 1.247 1.272 8.847
Dy 2.973 3.033 5.788
Te 1.693 1.727 12.016
Te 3.400 3.468 8.821
Te 0.819 0.836 5.814
Te 2.526 2.577 2.619
Pd 0.000 0.000 0.000
```

Record 3
Entry from the Alexandria database: TaCdNi after structural relaxation (PBE).

For the formation energy, the calculation gives 59 meV/atom. The calculation puts the energy relative to the lowest polymorph listed for this composition at 0.0 kJ/mol of formula units.

```
3
Lattice="6.020 -0.094 0.098 5.329 2.800 0.126 0.691 0.136 2.892" Properties=species:S:1:pos:R:3 pbc="T T T"
Cd 11.212 2.673 0.259
Ni 4.106 0.960 2.037
Ta 8.071 1.916 1.045
```

Record 4
Entry from the Alexandria database: TmFeBi after structural relaxation (PBE).

For the formation energy, the calculation gives -171 meV/atom.

```
6
Lattice="3.663 0.000 0.000 1.832 3.172 0.000 1.832 1.057 13.326" Properties=species:S:1:pos:R:3 pbc="T T T"
Tm 3.663 2.115 4.629
Tm 3.663 2.115 8.697
Bi 1.832 1.057 1.968
Bi 5.495 3.172 11.358
Fe 5.495 3.172 6.523
Fe 1.832 1.057 6.803
```

Record 5
Entry from the Alexandria database: LiVWAu2 after structural relaxation (PBE).

For the formation energy, the calculation gives 941 meV/atom.

```
5
Lattice="-3.175 3.832 -0.448 -2.940 -2.650 -1.827 -1.878 -1.029 4.515" Properties=species:S:1:pos:R:3 pbc="T T T"
Li -3.997 0.077 1.120
Au -0.939 -0.514 2.257
Au -1.588 1.916 -0.224
W -1.470 -1.325 -0.913
V 0.000 0.000 0.000
```

Record 6
Entry from the Alexandria database: LaRe2Pt after structural relaxation (PBE).

For the formation energy, the calculation gives 513 meV/atom. The calculation puts the energy relative to the lowest polymorph listed for this composition at 209.9 kJ/mol of formula units.

```
8
Lattice="-1.542 -4.469 -0.236 3.511 -1.054 -2.995 6.323 -4.975 5.422" Properties=species:S:1:pos:R:3 pbc="T T T"
Re 0.670 -5.285 0.775
Re 2.425 -5.814 -0.723
Re 4.603 -5.539 3.603
Re 3.831 -7.773 3.487
Pt 0.000 0.000 0.000
Pt 2.882 -6.103 1.786
La 0.984 -2.762 -1.615
La 5.409 -4.395 0.406
```

Record 7
Entry from the Alexandria database: CeTmP2 after structural relaxation (PBE).

For the formation energy, the calculation gives -1389 meV/atom. The calculation puts the energy relative to the lowest polymorph listed for this composition at 62.2 kJ/mol of formula units.

```
4
Lattice="3.950 0.000 0.000 1.975 3.421 0.000 1.975 1.140 6.930" Properties=species:S:1:pos:R:3 pbc="T T T"
Ce 3.950 2.280 3.518
Tm 5.925 3.421 6.871
P 1.975 1.140 5.286
P 1.975 1.140 1.649
```

Record 8
Entry from the Alexandria database: Cr3RuI after structural relaxation (PBE).

The calculation puts the energy relative to the lowest polymorph listed for this composition at 573.8 kJ/mol of formula units. The formation energy (no corrections) comes out at 226.4 kJ per mole of atoms.

```
5
Lattice="-2.920 3.520 0.124 -3.281 -2.777 1.567 1.281 0.911 4.296" Properties=species:S:1:pos:R:3 pbc="T T T"
I 0.000 0.000 0.000
Ru -2.460 0.827 2.994
Cr -1.640 -1.388 0.783
Cr 0.640 0.455 2.148
Cr -1.460 1.760 0.062
```

Record 9
Entry from the Alexandria database: Pm4RhSeS2 after structural relaxation (PBE).

The formation energy (no corrections) comes out at -154.6 kJ per mole of atoms.

```
8
Lattice="4.055 0.000 0.000 0.000 7.200 0.161 0.000 -2.483 6.713" Properties=species:S:1:pos:R:3 pbc="T T T"
Pm 2.028 1.233 1.779
Pm 2.028 3.484 5.095
Pm 0.000 0.015 5.106
Pm 0.000 4.702 1.768
Rh 2.028 3.600 0.080
Se 0.000 0.000 0.000
S 2.028 -1.241 3.356
S 0.000 2.358 3.437
```

Record 10
Entry from the Alexandria database: YVGa after structural relaxation (PBE).

For the formation energy, the calculation gives -47 meV/atom. The calculation puts the energy relative to the lowest polymorph listed for this composition at 51.3 kJ/mol of formula units.

```
3
Lattice="3.235 -0.613 -1.070 1.227 1.315 2.958 -2.406 -5.014 1.201" Properties=species:S:1:pos:R:3 pbc="T T T"
Y -0.099 -2.636 1.213
Ga 2.200 -0.477 1.325
V 2.064 -4.113 2.998
```

Record 11
Entry from the Alexandria database: ErTe2H after structural relaxation (PBE).

The calculation puts the energy relative to the lowest polymorph listed for this composition at 5.6 kJ/mol of formula units.

```
4
Lattice="-1.164 -1.753 -3.944 3.012 -2.243 -2.425 -1.298 -7.456 1.165" Properties=species:S:1:pos:R:3 pbc="T T T"
H 0.000 0.000 0.000
Te -0.780 -5.798 0.275
Te 1.330 -5.655 -5.478
Er 0.275 -5.726 -2.602
```

Record 12
Entry from the Alexandria database: LiIrRu after structural relaxation (PBE).

For the formation energy, the calculation gives 67 meV/atom. The calculation puts the energy relative to the lowest polymorph listed for this composition at 24.4 kJ/mol of formula units.

```
6
Lattice="7.809 0.000 0.004 1.891 4.039 -1.288 -1.891 4.039 1.288" Properties=species:S:1:pos:R:3 pbc="T T T"
Ru 6.802 5.858 -0.641
Ru 1.007 2.219 0.645
Ir 6.802 3.279 -0.641
Ir 1.007 4.798 0.645
Li 4.911 4.596 0.647
Li 2.898 3.482 -0.643
```

Record 13
Entry from the Alexandria database: LaMgSiS2 after structural relaxation (PBE).

The formation energy (no corrections) comes out at 32.1 kJ per mole of atoms.

```
5
Lattice="5.387 0.000 0.000 0.000 6.485 0.000 0.000 0.000 5.387" Properties=species:S:1:pos:R:3 pbc="T T T"
Mg 0.000 3.242 0.000
S 0.000 0.000 2.693
S 2.693 0.000 0.000
Si 2.693 3.242 2.693
La 0.000 0.000 0.000
```

Record 14
Entry from the Alexandria database: GdDyAlPb after structural relaxation (PBE).

For the formation energy, the calculation gives -346 meV/atom.

```
4
Lattice="5.314 0.000 0.000 2.657 4.602 0.000 2.657 1.534 4.339" Properties=species:S:1:pos:R:3 pbc="T T T"
Pb 2.657 1.534 1.085
Gd 0.000 0.000 0.000
Al 7.971 4.602 3.254
Dy 5.314 3.068 2.169
```

Record 15
Entry from the Alexandria database: Rb2TlBCl6 after structural relaxation (PBE).

The formation energy (no corrections) comes out at -99.6 kJ per mole of atoms.

```
10
Lattice="-5.275 3.311 -3.795 -4.627 -5.358 1.757 -6.399 1.653 3.329" Properties=species:S:1:pos:R:3 pbc="T T T"
Tl 0.000 0.000 0.000
B -4.951 -1.023 -1.019
Rb -8.313 1.971 -0.743
Rb -7.989 -2.364 2.033
Cl -5.575 0.129 0.853
Cl -10.727 -0.523 0.437
Cl -2.919 -0.603 -0.601
Cl -6.983 -1.443 -1.437
Cl -5.084 0.756 -2.159
Cl -4.818 -2.802 0.120
```

Record 16
Entry from the Alexandria database: DyYMg4 after structural relaxation (PBE).

For the formation energy, the calculation gives -79 meV/atom. The calculation puts the energy relative to the lowest polymorph listed for this composition at 0.0 kJ/mol of formula units.

```
6
Lattice="6.037 0.000 0.000 3.019 5.229 0.000 3.019 1.743 4.930" Properties=species:S:1:pos:R:3 pbc="T T T"
Y 0.000 0.000 0.000
Mg 6.037 3.486 0.616
Mg 6.037 1.743 3.081
Mg 7.547 4.357 3.081
Mg 4.528 4.357 3.081
Dy 3.019 1.743 1.232
```

Record 17
Entry from the Alexandria database: Ac3N2Cl after structural relaxation (PBE).

The formation energy (no corrections) comes out at -118.2 kJ per mole of atoms.

```
12
Lattice="-0.907 2.252 3.125 -4.489 -5.790 0.364 7.670 -5.554 6.229" Properties=species:S:1:pos:R:3 pbc="T T T"
Ac -1.048 -0.327 2.437
Ac 4.985 -4.890 4.971
Ac 1.717 -2.329 4.683
Ac -2.711 -4.202 4.747
Ac 3.322 -8.765 7.282
Ac 0.556 -6.763 5.035
N 0.000 0.000 0.000
N 3.835 -2.777 3.115
N 1.242 -0.472 3.206
N 1.032 -8.620 6.512
Cl -0.389 -3.565 2.456
Cl 2.663 -5.527 7.262
```

Record 18
Entry from the Alexandria database: NbGeAs2 after structural relaxation (PBE).

For the formation energy, the calculation gives -124 meV/atom.

```
8
Lattice="-3.189 2.010 -3.751 4.357 -1.557 -2.620 -1.820 -5.173 0.424" Properties=species:S:1:pos:R:3 pbc="T T T"
Nb -1.578 -3.499 -4.861
Nb -1.558 -0.566 -3.069
Ge 2.013 -2.856 -1.929
Ge -0.628 -3.781 -0.255
As 0.232 -5.141 -3.585
As -1.922 -3.227 -2.313
As -0.105 -0.884 -0.683
As 0.610 -2.179 -3.874
```

Record 19
Entry from the Alexandria database: MnZnSn2 after structural relaxation (PBE).

For the formation energy, the calculation gives 224 meV/atom.

```
4
Lattice="3.083 0.000 0.000 0.000 5.192 0.000 0.000 0.000 5.192" Properties=species:S:1:pos:R:3 pbc="T T T"
Zn 1.541 2.596 2.596
Mn 1.541 0.000 0.000
Sn 0.000 0.000 2.596
Sn 0.000 2.596 0.000
```

Record 20
Entry from the Alexandria database: Pm3Zn5Pd6 after structural relaxation (PBE).

For the formation energy, the calculation gives -662 meV/atom.

```
28
Lattice="-4.415 0.079 -0.258 -0.226 -8.930 1.141 -0.727 1.675 12.972" Properties=species:S:1:pos:R:3 pbc="T T T"
Pm -0.565 -1.044 9.365
Pm -2.523 -6.339 3.324
Pm -2.959 -5.334 11.105
Pm -0.053 -2.087 0.267
Pm -2.745 -5.967 7.231
Pm -0.274 -1.714 4.174
Zn -0.761 -3.238 12.047
Zn -0.679 -6.808 9.550
Zn -0.174 -6.853 0.875
Zn -2.763 -3.140 8.424
Zn -2.624 -1.201 6.623
Zn -0.205 -4.519 2.130
Zn -2.592 -3.535 5.368
Zn -0.449 -7.338 5.443
Zn -2.845 0.429 10.920
Zn -2.348 -0.715 2.055
Pd -0.842 -7.227 12.206
Pd -2.683 0.849 8.264
Pd -2.891 -2.171 10.908
Pd -2.338 -5.102 0.528
Pd -0.460 -2.951 6.970
Pd -0.633 -4.207 9.562
Pd -0.365 -4.825 4.778
Pd -2.419 -8.310 0.938
Pd -0.325 -8.419 2.978
Pd -2.432 -3.228 2.720
Pd -0.378 0.256 6.560
Pd -2.473 0.365 4.520
```